Record 1
A relaxed structure of Tm2PuRh9, computed with PBE.

extended XYZ file:
```
12
Lattice="2.620 1.512 8.744 -2.620 1.512 8.744 0.000 -3.025 8.744" Properties=species:S:1:pos:R:3 pbc="T T T"
Tm 0.000 0.000 3.654
Tm 0.000 0.000 22.579
Pu 0.000 0.000 0.000
Rh -1.314 -0.759 10.936
Rh 0.000 0.000 8.745
Rh 0.000 -1.518 15.297
Rh -1.314 0.759 15.297
Rh 0.000 0.000 13.117
Rh 1.314 -0.759 10.936
Rh 0.000 1.518 10.936
Rh 0.000 0.000 17.488
Rh 1.314 0.759 15.297
```

- energy (eV/atom) = -7.965
- D(E_F) (states/eV/atom) = 1.523
- space-group type = R-3m (166)



Record 2
A relaxed structure of TmPu2Rh, computed with PBE.

extended XYZ file:
```
4
Lattice="3.571 0.000 0.000 0.000 3.571 0.000 0.000 0.000 7.636" Properties=species:S:1:pos:R:3 pbc="T T T"
Tm 0.000 0.000 0.000
Pu 1.785 1.785 2.288
Pu 1.785 1.785 5.348
Rh 0.000 0.000 3.818
```

- energy (eV/atom) = -10.257
- D(E_F) (states/eV/atom) = 3.219
- ΔE to the lowest computed polymorph (meV per atom) = 0
- space-group type = P4/mmm (123)



Record 3
A relaxed structure of Tm2PuRh4, computed with PBE.

extended XYZ file:
```
7
Lattice="3.819 -2.481 0.000 3.819 2.481 0.000 -0.717 0.000 7.444" Properties=species:S:1:pos:R:3 pbc="T T T"
Tm 1.231 0.000 2.365
Tm 5.690 0.000 5.079
Pu 3.819 0.000 0.000
Rh 0.570 0.000 6.643
Rh 2.874 0.000 4.862
Rh 4.046 0.000 2.582
Rh 6.350 0.000 0.801
```

- energy (eV/atom) = -8.086
- D(E_F) (states/eV/atom) = 1.259
- space-group type = C2/m (12)



Record 4
A relaxed structure of TmPu2Rh, computed with PBE.

extended XYZ file:
```
4
Lattice="1.726 0.997 10.156 -1.726 0.997 10.156 0.000 -1.993 10.156" Properties=species:S:1:pos:R:3 pbc="T T T"
Tm 0.000 0.000 0.000
Pu 0.000 0.000 3.111
Pu 0.000 0.000 27.357
Rh 0.000 0.000 15.234
```

- energy (eV/atom) = -10.005
- D(E_F) (states/eV/atom) = 4.004
- ΔE to the lowest computed polymorph (meV per atom) = 252
- space-group type = R-3m (166)



Record 5
A relaxed structure of TmPuRh4, computed with PBE.

extended XYZ file:
```
6
Lattice="0.000 3.762 3.762 3.762 0.000 3.762 3.762 3.762 0.000" Properties=species:S:1:pos:R:3 pbc="T T T"
Tm 0.000 0.000 0.000
Pu 5.644 5.644 5.644
Rh 2.822 2.822 2.822
Rh 4.703 4.703 2.822
Rh 4.703 2.822 4.703
Rh 2.822 4.703 4.703
```

- energy (eV/atom) = -8.642
- D(E_F) (states/eV/atom) = 2.288
- space-group type = F-43m (216)



Record 6
A relaxed structure of Tm4PuRh5, computed with PBE.

extended XYZ file:
```
10
Lattice="3.343 0.000 0.000 0.000 3.343 0.000 0.000 0.000 17.402" Properties=species:S:1:pos:R:3 pbc="T T T"
Tm 0.000 0.000 1.719
Tm 0.000 0.000 5.165
Tm 0.000 0.000 12.237
Tm 0.000 0.000 15.683
Pu 0.000 0.000 8.701
Rh 1.672 1.672 0.000
Rh 1.672 1.672 3.429
Rh 1.672 1.672 6.854
Rh 1.672 1.672 10.549
Rh 1.672 1.672 13.973
```

- energy (eV/atom) = -7.740
- D(E_F) (states/eV/atom) = 1.391
- space-group type = P4/mmm (123)



Record 7
A relaxed structure of Tm3PuRh4, computed with PBE.

extended XYZ file:
```
8
Lattice="3.316 0.000 0.000 0.000 4.823 0.000 0.000 0.000 9.763" Properties=species:S:1:pos:R:3 pbc="T T T"
Tm 0.000 0.000 0.000
Tm 0.000 2.411 2.417
Tm 0.000 2.411 7.346
Pu 0.000 0.000 4.882
Rh 1.658 0.000 2.388
Rh 1.658 0.000 7.375
Rh 1.658 2.411 0.000
Rh 1.658 2.411 4.882
```

- energy (eV/atom) = -7.957
- D(E_F) (states/eV/atom) = 1.488
- space-group type = Pmmm (47)



Record 8
A relaxed structure of TmPu2Rh9, computed with PBE.

extended XYZ file:
```
12
Lattice="2.617 1.511 8.787 -2.617 1.511 8.787 0.000 -3.022 8.787" Properties=species:S:1:pos:R:3 pbc="T T T"
Tm 0.000 0.000 0.000
Pu 0.000 0.000 3.686
Pu 0.000 0.000 22.676
Rh -1.319 -0.761 10.978
Rh 0.000 0.000 8.786
Rh 0.000 -1.523 15.383
Rh -1.319 0.761 15.383
Rh 0.000 0.000 13.181
Rh 1.319 -0.761 10.978
Rh 0.000 1.523 10.978
Rh 0.000 0.000 17.575
Rh 1.319 0.761 15.383
```

- energy (eV/atom) = -8.697
- D(E_F) (states/eV/atom) = 2.131
- space-group type = R-3m (166)



Record 9
A relaxed structure of Tm2PuZn2Rh5, computed with PBE.

extended XYZ file:
```
20
Lattice="9.700 0.000 0.000 0.000 9.700 0.000 0.000 0.000 3.708" Properties=species:S:1:pos:R:3 pbc="T T T"
Tm 1.648 3.202 0.000
Tm 3.202 8.052 0.000
Tm 6.498 1.648 0.000
Tm 8.052 6.498 0.000
Pu 0.000 0.000 0.000
Pu 4.850 4.850 0.000
Zn 1.212 6.062 0.000
Zn 3.638 1.212 0.000
Zn 6.062 8.488 0.000
Zn 8.488 3.638 0.000
Rh 0.000 4.850 1.854
Rh 0.688 7.719 1.854
Rh 1.981 0.688 1.854
Rh 2.869 5.538 1.854
Rh 4.162 2.869 1.854
Rh 4.850 0.000 1.854
Rh 5.538 6.831 1.854
Rh 6.831 4.162 1.854
Rh 7.719 9.012 1.854
Rh 9.012 1.981 1.854
```

- energy (eV/atom) = -6.905
- D(E_F) (states/eV/atom) = 1.369
- space-group type = P4/mbm (127)



Record 10
A relaxed structure of Pu2URh2, computed with PBE.

extended XYZ file:
```
10
Lattice="5.334 -2.207 0.000 5.334 2.207 0.000 -2.214 0.000 8.113" Properties=species:S:1:pos:R:3 pbc="T T T"
Pu -0.345 0.000 2.642
Pu 1.370 0.000 0.841
Pu 7.084 0.000 7.271
Pu 8.799 0.000 5.470
U 1.119 0.000 5.924
U 7.334 0.000 2.188
Rh 2.949 0.000 3.527
Rh 4.261 0.000 0.898
Rh 4.193 0.000 7.215
Rh 5.505 0.000 4.585
```

- energy (eV/atom) = -11.261
- D(E_F) (states/eV/atom) = 1.956
- space-group type = C2/m (12)



Record 11
A relaxed structure of PuURh, computed with PBE.

extended XYZ file:
```
3
Lattice="-1.737 1.737 4.931 1.737 -1.737 4.931 1.737 1.737 -4.931" Properties=species:S:1:pos:R:3 pbc="T T T"
Pu 0.000 0.000 0.000
U 0.000 0.000 6.609
Rh 0.000 0.000 3.143
```

- energy (eV/atom) = -11.267
- D(E_F) (states/eV/atom) = 1.915
- ΔE to the lowest computed polymorph (meV per atom) = 43
- space-group type = I4mm (107)



Record 12
A relaxed structure of Pu2URh4, computed with PBE.

extended XYZ file:
```
7
Lattice="2.863 -4.592 0.000 2.863 4.592 0.000 -2.626 0.000 5.211" Properties=species:S:1:pos:R:3 pbc="T T T"
Pu 2.863 2.783 0.000
Pu 2.863 -2.783 0.000
U 1.550 0.000 2.605
Rh 1.550 2.418 2.605
Rh -0.712 0.000 4.248
Rh 3.812 0.000 0.963
Rh 1.550 -2.418 2.605
```

- energy (eV/atom) = -10.287
- D(E_F) (states/eV/atom) = 2.331
- space-group type = C2/m (12)



Summary of ΔH_f (0 K) in eV/atom
-0.51, -0.14, -0.56, 0.12, -0.61, -0.84, -0.81, -0.42, -0.65, -0.33, -0.28, -0.38
(order as listed above)
Summary of density in g/cm³
12.05, 12.96, 11.70, 12.04, 12.85, 12.25, 12.36, 12.60, 11.68, 16.20, 16.31, 13.79
(order as listed above)